A geometry-optimized CoTc2Pt structure, computed with PBE-GGA.

Cell: 4.705 4.705 4.627 Å, 80.21 80.21 33.46°
Site moments in Bohr magnetons follow the coordinates.
Sites, in units of the cell vectors:
Tc 0.497 0.497 0.514  -0.04
Pt 0.250 0.250 0.250  0.07
Co 0.750 0.750 0.750  1.05
Tc 0.003 0.003 0.986  -0.04

Calculated values
Symmetry   C2/m
ΔE_f   0.0192 eV per atom
Total energy   -0.3105 hartree per atom